5
Lattice="-2.5707 -4.2010 -0.3995 3.3384 -1.8877 -1.6314 1.4635 -1.3263 4.5294" Properties=species:S:1:pos:R:3 comment="CdCu2SiF PBE optimized geometry" total_magnetization_mub_per_cell=0.00 spacegroup=P4/mmm e_form_raw_mev_per_atom=510 pbc="T T T"
Si 1.1156 -3.7075 1.2493
F 1.6692 -0.9439 -0.8157
Cu 0.7317 -0.6631 2.2647
Cu -1.2854 -2.1005 -0.1998
Cd 0.0000 0.0000 0.0000

---

6
Lattice="-0.1459 -2.7560 0.9636 2.2778 0.8649 -1.6156 5.9862 3.2408 10.1749" Properties=species:S:1:pos:R:3 comment="FeAsPt PBE optimized geometry" total_magnetization_mub_per_cell=3.87 formation_enthalpy_0k_ev_per_atom=-0.045 spacegroup=P-6m2 pbc="T T T"
Pt 1.4689 -0.3419 -0.7553
Pt 4.4638 1.2781 4.3312
Fe 2.6433 -0.4765 3.4714
Fe 4.6671 0.6191 6.9112
As 6.2651 2.2540 7.3949
As 2.6607 0.3027 1.2685

---

4
Lattice="-2.0763 -1.7397 -3.5879 -3.4293 -2.8541 0.5519 -4.1841 1.2894 -1.0204" Properties=species:S:1:pos:R:3 comment="TlCo2Au PBE optimized geometry" total_magnetization_mub_per_cell=3.22 formation_enthalpy_0k_ev_per_atom=0.541 spacegroup=F-43m pbc="T T T"
Au -4.8448 -1.6522 -2.0282
Co 0.0000 0.0000 0.0000
Co -2.4224 -0.8261 -1.0141
Tl -7.2672 -2.4782 -3.0423

---

5
Lattice="5.0213 0.0000 0.0000 0.0000 5.0213 0.0000 0.0000 0.0000 5.0213" Properties=species:S:1:pos:R:3 comment="ReGe3Br PBE optimized geometry" total_magnetization_mub_per_cell=3.34 spacegroup=Pm-3m polymorph_energy_mev_per_atom=1854.7 e_form_raw_mev_per_atom=1847 pbc="T T T"
Re 2.5106 2.5106 2.5106
Ge 0.0000 2.5106 0.0000
Ge 0.0000 0.0000 2.5106
Ge 2.5106 0.0000 0.0000
Br 0.0000 0.0000 0.0000